Here is crystalline CuTc2B at its relaxed geometry from the Alexandria database. Energies are from PBE.

Summary:
Its formation energy is 869 meV per atom. The crystal system is tetragonal. The calculation puts the spin magnetization at 0.0 Bohr magnetons per cell.

Unit cell a=8.747 b=8.747 c=8.747 alpha=156.15 beta=156.15 gamma=33.98
Fractional coordinates of all 8 atoms:
Cu1 0.000 0.000 0.000
Cu2 0.750 0.250 0.500
Tc1 0.171 0.625 0.046
Tc2 0.375 0.421 0.546
Tc3 0.579 0.125 0.954
Tc4 0.875 0.829 0.454
B1 0.250 0.750 0.500
B2 0.500 0.500 0.000